No. 1
! OsAuBr2 (GGA-PBEsol, optimized geometry); values from VASP
! total DFT energy (no corrections): -4.195 eV/atom
! ΔE_f (raw): 0.775 eV per atom
! density of states at the Fermi level: 3.5 states/eV/cell
&SYSTEM
  ibrav = 0, nat = 4, ntyp = 3
/
ATOMIC_SPECIES
Os 190.23 Os.upf
Au 196.97 Au.upf
Br 79.90 Br.upf
ATOMIC_POSITIONS crystal
Os 0.000 0.000 0.496
Au 0.500 0.500 0.714
Br 0.000 0.000 0.970
Br 0.500 0.500 0.320
CELL_PARAMETERS angstrom
-0.368 -2.634 1.548
1.353 -1.538 -2.296
7.297 1.082 3.575

---

No. 2
! Be2TeRh (GGA-PBEsol, optimized geometry); values from VASP
! total DFT energy (no corrections): -4.988 eV/atom
! ΔE_f (raw): -0.072 eV per atom
! density of states at the Fermi level: 0.9 states/eV/cell
&SYSTEM
  ibrav = 0, nat = 4, ntyp = 3
/
ATOMIC_SPECIES
Be 9.01 Be.upf
Te 127.60 Te.upf
Rh 102.91 Rh.upf
ATOMIC_POSITIONS crystal
Be 0.000 0.501 0.156
Be 0.000 0.499 0.844
Te 0.500 0.500 0.500
Rh 0.500 0.000 0.000
CELL_PARAMETERS angstrom
-0.420 1.974 -2.081
-2.853 0.047 0.620
1.134 5.259 4.759

---

No. 3
! AlGa3Pb (GGA-PBEsol, optimized geometry); values from VASP
! formation energy from the elements: 0.896 eV per atom
! total DFT energy (no corrections): -2.726 eV/atom
! density of states at the Fermi level: 3.4 states/eV/cell
&SYSTEM
  ibrav = 0, nat = 5, ntyp = 3
/
ATOMIC_SPECIES
Pb 207.20 Pb.upf
Al 26.98 Al.upf
Ga 69.72 Ga.upf
ATOMIC_POSITIONS crystal
Pb 0.000 0.000 0.000
Al 0.500 0.500 0.500
Ga 0.000 0.500 0.000
Ga 0.000 0.000 0.500
Ga 0.500 0.000 0.000
CELL_PARAMETERS angstrom
5.327 0.000 0.000
0.000 5.327 0.000
0.000 0.000 5.327